[1]
Entry from the Open Quantum Materials Database: GdTmPa after structural relaxation (PBE).

Computed properties:
The value obtained for the total magnetic moment is 0.910 μB/atom. The formation energy comes out at 1.08 eV per atom.

Unit cell a=7.4088 b=7.4088 c=7.4088 alpha=90.00 beta=90.00 gamma=90.00
Atoms (fractional coordinates):
Gd (0.0000, 0.0000, 0.0000)
Gd (0.0000, 0.5000, 0.5000)
Gd (0.5000, 0.0000, 0.5000)
Gd (0.5000, 0.5000, 0.0000)
Tm (0.2500, 0.2500, 0.2500)
Tm (0.2500, 0.7500, 0.7500)
Tm (0.7500, 0.2500, 0.7500)
Tm (0.7500, 0.7500, 0.2500)
Pa (0.0000, 0.0000, 0.5000)
Pa (0.0000, 0.5000, 0.0000)
Pa (0.5000, 0.0000, 0.0000)
Pa (0.5000, 0.5000, 0.5000)

=====

[2]
Entry from the Open Quantum Materials Database: SrPr after structural relaxation (PBE).

Computed properties:
The value obtained for the total magnetic moment is 0.189 μB/atom. The total DFT energy (no corrections) is -2.5023 eV/atom.

Unit cell a=7.0307 b=7.0307 c=7.0307 alpha=90.00 beta=90.00 gamma=90.00
Atoms (fractional coordinates):
Sr (0.0000, 0.0000, 0.0000)
Sr (0.0000, 0.5000, 0.5000)
Sr (0.5000, 0.0000, 0.5000)
Sr (0.5000, 0.5000, 0.0000)
Pr (0.0000, 0.0000, 0.5000)
Pr (0.0000, 0.5000, 0.0000)
Pr (0.5000, 0.0000, 0.0000)
Pr (0.5000, 0.5000, 0.5000)

=====

[3]
Entry from the Open Quantum Materials Database: OsC4Cl2O4 after structural relaxation (PBE).

Computed properties:
The value obtained for the total magnetic moment is 0.000 μB/atom. The total DFT energy (no corrections) is -7.1750 eV/atom.

Unit cell a=5.7269 b=5.7269 c=11.5615 alpha=90.00 beta=90.00 gamma=90.00
Atoms (fractional coordinates):
Os (0.0000, 0.0000, 0.0000)
Os (0.5000, 0.5000, 0.5000)
C (0.1695, 0.1695, 0.1216)
C (0.1695, 0.1695, 0.8784)
C (0.3305, 0.6695, 0.3784)
C (0.3305, 0.6695, 0.6216)
C (0.6695, 0.3305, 0.3784)
C (0.6695, 0.3305, 0.6216)
C (0.8305, 0.8305, 0.1216)
C (0.8305, 0.8305, 0.8784)
Cl (0.2005, 0.2005, 0.5000)
Cl (0.2995, 0.7005, 0.0000)
Cl (0.7005, 0.2995, 0.0000)
Cl (0.7995, 0.7995, 0.5000)
O (0.2366, 0.7634, 0.3041)
O (0.2366, 0.7634, 0.6959)
O (0.2634, 0.2634, 0.1959)
O (0.2634, 0.2634, 0.8041)
O (0.7366, 0.7366, 0.1959)
O (0.7366, 0.7366, 0.8041)
O (0.7634, 0.2366, 0.3041)
O (0.7634, 0.2366, 0.6959)

=====

[4]
Entry from the Open Quantum Materials Database: Dy3Tm2Lu2Ni2S2 after structural relaxation (PBE).

Computed properties:
The value obtained for the total magnetic moment is 0.001 μB/atom. The total DFT energy (no corrections) is -5.5198 eV/atom.

Unit cell a=8.8262 b=8.8262 c=8.8262 alpha=155.54 beta=67.27 gamma=118.43
Atoms (fractional coordinates):
Dy (0.0000, 0.0000, 0.0000)
Dy (0.1184, 0.7549, 0.3635)
Dy (0.3914, 0.7549, 0.6365)
Tm (0.4785, 0.5986, 0.8800)
Tm (0.7186, 0.5986, 0.1200)
Lu (0.0749, 0.3906, 0.6843)
Lu (0.7063, 0.3906, 0.3157)
Ni (0.3275, 0.0851, 0.2424)
Ni (0.8427, 0.0851, 0.7576)
S (0.3487, 0.3487, 0.0000)
S (0.7507, 0.2507, 0.5000)

=====

[5]
Entry from the Open Quantum Materials Database: NaPu after structural relaxation (PBE).

Computed properties:
The value obtained for the total magnetic moment is 3.094 μB/atom. The total DFT energy (no corrections) is -7.3524 eV/atom.

Unit cell a=3.2849 b=3.2849 c=6.1578 alpha=90.00 beta=90.00 gamma=120.00
Atoms (fractional coordinates):
Na (0.0000, 0.0000, 0.0000)
Pu (0.6667, 0.3333, 0.5000)

=====

[6]
Entry from the Open Quantum Materials Database: TmHf6As2 after structural relaxation (PBE).

Computed properties:
The value obtained for the total magnetic moment is 0.000 μB/atom. The total DFT energy (no corrections) is -8.4076 eV/atom.

Unit cell a=7.4540 b=7.4540 c=3.8982 alpha=90.00 beta=90.00 gamma=120.00
Atoms (fractional coordinates):
Tm (0.0000, 0.0000, 0.0000)
Hf (0.0000, 0.2640, 0.5000)
Hf (0.0000, 0.5836, 0.0000)
Hf (0.2640, 0.0000, 0.5000)
Hf (0.4164, 0.4164, 0.0000)
Hf (0.5836, 0.0000, 0.0000)
Hf (0.7360, 0.7360, 0.5000)
As (0.3333, 0.6667, 0.5000)
As (0.6667, 0.3333, 0.5000)

=====

[7]
Entry from the Open Quantum Materials Database: ZnGePO after structural relaxation (PBE).

Computed properties:
The total DFT energy (no corrections) is -4.4503 eV/atom.

Unit cell a=3.6654 b=3.6654 c=9.2309 alpha=90.00 beta=90.00 gamma=90.00
Atoms (fractional coordinates):
Zn (0.2500, 0.7500, 0.0000)
Zn (0.7500, 0.2500, 0.0000)
Ge (0.2500, 0.2500, 0.3881)
Ge (0.7500, 0.7500, 0.6119)
P (0.2500, 0.2500, 0.8265)
P (0.7500, 0.7500, 0.1735)
O (0.2500, 0.7500, 0.5000)
O (0.7500, 0.2500, 0.5000)

=====

[8]
Entry from the Open Quantum Materials Database: AgIrNO after structural relaxation (PBE).

Computed properties:
The value obtained for the total magnetic moment is 0.000 μB/atom. The total DFT energy (no corrections) is -5.4929 eV/atom.

Unit cell a=3.8364 b=3.8364 c=7.1659 alpha=90.00 beta=90.00 gamma=90.00
Atoms (fractional coordinates):
Ag (0.2500, 0.2500, 0.1306)
Ag (0.7500, 0.7500, 0.8694)
Ir (0.2500, 0.7500, 0.5000)
Ir (0.7500, 0.2500, 0.5000)
N (0.2500, 0.2500, 0.6259)
N (0.7500, 0.7500, 0.3741)
O (0.2500, 0.7500, 0.0000)
O (0.7500, 0.2500, 0.0000)

=====

[9]
Entry from the Open Quantum Materials Database: Cd3Au after structural relaxation (PBE).

Computed properties:
The formation energy comes out at -0.15 eV per atom.

Unit cell a=8.2486 b=8.2486 c=8.5668 alpha=90.00 beta=90.00 gamma=120.00
Atoms (fractional coordinates):
Cd (0.0000, 0.0000, 0.0000)
Cd (0.0000, 0.0000, 0.5000)
Cd (0.0000, 0.2949, 0.7487)
Cd (0.0000, 0.3672, 0.0902)
Cd (0.0000, 0.6328, 0.5902)
Cd (0.0000, 0.7051, 0.2487)
Cd (0.2949, 0.0000, 0.7487)
Cd (0.2949, 0.2949, 0.2487)
Cd (0.3333, 0.6667, 0.3724)
Cd (0.3333, 0.6667, 0.8724)
Cd (0.3672, 0.0000, 0.0902)
Cd (0.3672, 0.3672, 0.5902)
Cd (0.6328, 0.0000, 0.5902)
Cd (0.6328, 0.6328, 0.0902)
Cd (0.6667, 0.3333, 0.3724)
Cd (0.6667, 0.3333, 0.8724)
Cd (0.7051, 0.0000, 0.2487)
Cd (0.7051, 0.7051, 0.7487)
Au (0.0000, 0.3287, 0.4195)
Au (0.0000, 0.6713, 0.9195)
Au (0.3287, 0.0000, 0.4195)
Au (0.3287, 0.3287, 0.9195)
Au (0.6713, 0.0000, 0.9195)
Au (0.6713, 0.6713, 0.4195)

=====

[10]
Entry from the Open Quantum Materials Database: NaDyCoS3 after structural relaxation (PBE).

Computed properties:
The value obtained for the total magnetic moment is 0.000 μB/atom. The total DFT energy (no corrections) is -5.4744 eV/atom.

Unit cell a=8.0167 b=3.8351 c=9.0758 alpha=90.00 beta=103.60 gamma=90.00
Atoms (fractional coordinates):
Na (0.1778, 0.2500, 0.1825)
Na (0.8222, 0.7500, 0.8175)
Dy (0.3314, 0.7500, 0.8471)
Dy (0.6686, 0.2500, 0.1529)
Co (0.0800, 0.2500, 0.5836)
Co (0.9200, 0.7500, 0.4164)
S (0.0912, 0.2500, 0.8389)
S (0.1903, 0.7500, 0.5296)
S (0.4281, 0.7500, 0.1548)
S (0.5719, 0.2500, 0.8452)
S (0.8097, 0.2500, 0.4704)
S (0.9088, 0.7500, 0.1611)

=====

[11]
Entry from the Open Quantum Materials Database: CsOs3Se5 after structural relaxation (PBE).

Computed properties:
The value obtained for the total magnetic moment is 0.001 μB/atom. The total DFT energy (no corrections) is -5.8136 eV/atom.

Unit cell a=5.8318 b=5.8318 c=7.4580 alpha=90.00 beta=90.00 gamma=120.00
Atoms (fractional coordinates):
Cs (0.0000, 0.0000, 0.0000)
Os (0.0000, 0.5000, 0.5000)
Os (0.5000, 0.0000, 0.5000)
Os (0.5000, 0.5000, 0.5000)
Se (0.0000, 0.0000, 0.5000)
Se (0.3333, 0.6667, 0.2575)
Se (0.3333, 0.6667, 0.7425)
Se (0.6667, 0.3333, 0.2575)
Se (0.6667, 0.3333, 0.7425)

=====

[12]
Entry from the Open Quantum Materials Database: Li2TaGe after structural relaxation (PBE).

Computed properties:
The value obtained for the total magnetic moment is 0.184 μB/atom. The total DFT energy (no corrections) is -4.9113 eV/atom.

Unit cell a=6.2378 b=6.2378 c=6.2378 alpha=90.00 beta=90.00 gamma=90.00
Atoms (fractional coordinates):
Li (0.0000, 0.0000, 0.0000)
Li (0.0000, 0.5000, 0.5000)
Li (0.2500, 0.2500, 0.2500)
Li (0.2500, 0.7500, 0.7500)
Li (0.5000, 0.0000, 0.5000)
Li (0.5000, 0.5000, 0.0000)
Li (0.7500, 0.2500, 0.7500)
Li (0.7500, 0.7500, 0.2500)
Ta (0.2500, 0.2500, 0.7500)
Ta (0.2500, 0.7500, 0.2500)
Ta (0.7500, 0.2500, 0.2500)
Ta (0.7500, 0.7500, 0.7500)
Ge (0.0000, 0.0000, 0.5000)
Ge (0.0000, 0.5000, 0.0000)
Ge (0.5000, 0.0000, 0.0000)
Ge (0.5000, 0.5000, 0.5000)

=====

What did the first record say?
Entry from the Open Quantum Materials Database: GdTmPa after structural relaxation (PBE).

Computed properties:
The value obtained for the total magnetic moment is 0.910 μB/atom. The formation energy comes out at 1.08 eV per atom.

Unit cell a=7.4088 b=7.4088 c=7.4088 alpha=90.00 beta=90.00 gamma=90.00
Atoms (fractional coordinates):
Gd (0.0000, 0.0000, 0.0000)
Gd (0.0000, 0.5000, 0.5000)
Gd (0.5000, 0.0000, 0.5000)
Gd (0.5000, 0.5000, 0.0000)
Tm (0.2500, 0.2500, 0.2500)
Tm (0.2500, 0.7500, 0.7500)
Tm (0.7500, 0.2500, 0.7500)
Tm (0.7500, 0.7500, 0.2500)
Pa (0.0000, 0.0000, 0.5000)
Pa (0.0000, 0.5000, 0.0000)
Pa (0.5000, 0.0000, 0.0000)
Pa (0.5000, 0.5000, 0.5000)

=====

Which formula does entry 9 have?
Cd3Au